(1)
Entry from the Alexandria database: a relaxed structure of La2Cd2Hg (GGA-PBE).

For the electronic total energy, the calculation gives -2.70 eV/atom. Its energy of formation from the pure elements is -1.50 eV/f.u. The calculation puts the excess energy over the best structure of this formula in the dataset at 58 meV per atom. Its space group is P4/mbm.

Lattice parameters (Å, degrees): 7.7266 7.7266 4.8843 90.00 90.00 90.00
Element x y z (fractional)
1 Cd 0.3651 0.8651 0.0000
2 Cd 0.8651 0.6349 0.0000
3 Cd 0.6349 0.1349 0.0000
4 Cd 0.1349 0.3651 0.0000
5 Hg 0.0000 0.0000 0.0000
6 Hg 0.5000 0.5000 0.0000
7 La 0.1639 0.6639 0.5000
8 La 0.6639 0.8361 0.5000
9 La 0.8361 0.3361 0.5000
10 La 0.3361 0.1639 0.5000

---

(2)
Entry from the Alexandria database: a relaxed structure of Ti4Ge2H (GGA-PBE).

For the electronic total energy, the calculation gives -6.90 eV/atom. The calculation puts the excess energy over the best structure of this formula in the dataset at 0 meV per atom. Its space group is I4/mmm.

Lattice parameters (Å, degrees): 3.7472 3.7472 7.6179 75.76 75.76 90.00
Element x y z (fractional)
1 H 0.0000 0.0000 0.0000
2 Ge 0.3619 0.3619 0.2761
3 Ge 0.6381 0.6381 0.7239
4 Ti 0.1778 0.1778 0.6444
5 Ti 0.8222 0.8222 0.3556
6 Ti 0.0000 0.5000 0.0000
7 Ti 0.5000 0.0000 0.0000

---

(3)
Entry from the Alexandria database: a relaxed structure of TmPb4 (GGA-PBE).

For the electronic total energy, the calculation gives -3.99 eV/atom. Its energy of formation from the pure elements is -0.64 eV/f.u. The calculation puts the excess energy over the best structure of this formula in the dataset at 0 meV per atom. Its space group is Imma.

Lattice parameters (Å, degrees): 4.6627 6.7628 10.4227 108.93 102.93 90.00
Element x y z (fractional)
1 Tm 0.9147 0.1647 0.8293
2 Tm 0.0853 0.8353 0.1707
3 Pb 0.0985 0.3485 0.1970
4 Pb 0.9015 0.6515 0.8030
5 Pb 0.5000 0.0000 0.0000
6 Pb 0.5000 0.5000 0.0000
7 Pb 0.6882 0.1819 0.3764
8 Pb 0.3118 0.8181 0.6236
9 Pb 0.3118 0.3055 0.6236
10 Pb 0.6882 0.6945 0.3764

---

(4)
Entry from the Alexandria database: a relaxed structure of TlHgRuF6 (GGA-PBE).

For the electronic total energy, the calculation gives -4.19 eV/atom. Its space group is Imma. The uncorrected formation energy is -1.62 eV/atom.

Lattice parameters (Å, degrees): 7.6223 7.5730 7.5914 119.92 120.13 90.00
Each line ends with the local moment (μB).
Element x y z (fractional)
1 Tl 0.8587 0.6087 0.7173  0.00
2 Tl 0.1413 0.3913 0.2827  0.00
3 Hg 0.5000 0.0000 0.5000  -0.03
4 Hg 0.0000 0.0000 0.5000  -0.03
5 Ru 0.5000 0.5000 0.0000  0.85
6 Ru 0.5000 0.0000 0.0000  0.85
7 F 0.5706 0.8206 0.1412  -0.01
8 F 0.8668 0.1168 0.7336  -0.01
9 F 0.8112 0.1645 0.2570  0.04
10 F 0.4458 0.5925 0.2570  0.04
11 F 0.4458 0.1645 0.2570  0.04
12 F 0.8112 0.5925 0.2570  0.04
13 F 0.4294 0.1794 0.8588  -0.01
14 F 0.1332 0.8832 0.2664  -0.01
15 F 0.1888 0.8355 0.7430  0.04
16 F 0.5542 0.4075 0.7430  0.04
17 F 0.5542 0.8355 0.7430  0.04
18 F 0.1888 0.4075 0.7430  0.04